Here is a relaxed structure of ZrTc2Br from the Alexandria database. Energies are from PBE.

Lattice parameters (Å, degrees): 6.4970 6.4970 6.4970 90.00 90.00 90.00
Sites, in units of the cell vectors:
1 Zr 0.0000 0.0000 0.0000
2 Zr 0.0000 0.5000 0.5000
3 Zr 0.5000 0.0000 0.5000
4 Zr 0.5000 0.5000 0.0000
5 Tc 0.2500 0.2500 0.2500
6 Tc 0.2500 0.2500 0.7500
7 Tc 0.2500 0.7500 0.2500
8 Tc 0.2500 0.7500 0.7500
9 Tc 0.7500 0.2500 0.2500
10 Tc 0.7500 0.2500 0.7500
11 Tc 0.7500 0.7500 0.2500
12 Tc 0.7500 0.7500 0.7500
13 Br 0.0000 0.0000 0.5000
14 Br 0.0000 0.5000 0.0000
15 Br 0.5000 0.0000 0.0000
16 Br 0.5000 0.5000 0.5000

Theoretical density ... 8.9 g/cm³
Energy relative to the lowest polymorph listed for this composition ... 0.699 eV/atom
ΔE_f (raw) ... 64.24 kJ per mole of atoms
Symmetry ... Fm-3m

=====

Here is a relaxed structure of AcCeZnIn from the Alexandria database. Energies are from PBE.

Lattice parameters (Å, degrees): 7.8122 7.8122 7.8122 90.00 90.00 90.00
Sites, in units of the cell vectors:
1 Ac 0.0000 0.0000 0.0000
2 Ac 0.0000 0.5000 0.5000
3 Ac 0.5000 0.0000 0.5000
4 Ac 0.5000 0.5000 0.0000
5 Ce 0.0000 0.0000 0.5000
6 Ce 0.0000 0.5000 0.0000
7 Ce 0.5000 0.0000 0.0000
8 Ce 0.5000 0.5000 0.5000
9 Zn 0.2500 0.2500 0.7500
10 Zn 0.2500 0.7500 0.2500
11 Zn 0.7500 0.2500 0.2500
12 Zn 0.7500 0.7500 0.7500
13 In 0.2500 0.2500 0.2500
14 In 0.2500 0.7500 0.7500
15 In 0.7500 0.2500 0.7500
16 In 0.7500 0.7500 0.2500

Theoretical density ... 7.6 g/cm³
Symmetry ... F-43m
Energy of formation ... -0.2336 eV per atom

=====

Here is a relaxed structure of MgTlSi2 from the Alexandria database. Energies are from PBE.

Lattice parameters (Å, degrees): 6.9603 6.9603 6.9603 90.00 90.00 90.00
Sites, in units of the cell vectors:
1 Mg 0.0000 0.0000 0.0000
2 Mg 0.0000 0.5000 0.5000
3 Mg 0.5000 0.0000 0.5000
4 Mg 0.5000 0.5000 0.0000
5 Tl 0.0000 0.0000 0.5000
6 Tl 0.0000 0.5000 0.0000
7 Tl 0.5000 0.0000 0.0000
8 Tl 0.5000 0.5000 0.5000
9 Si 0.2500 0.2500 0.2500
10 Si 0.2500 0.2500 0.7500
11 Si 0.2500 0.7500 0.2500
12 Si 0.2500 0.7500 0.7500
13 Si 0.7500 0.2500 0.2500
14 Si 0.7500 0.2500 0.7500
15 Si 0.7500 0.7500 0.2500
16 Si 0.7500 0.7500 0.7500

Theoretical density ... 5.6 g/cm³
Energy relative to the lowest polymorph listed for this composition ... 0.352 eV/atom
ΔE_f (raw) ... 49.14 kJ per mole of atoms
Symmetry ... Fm-3m

=====

Here is a relaxed structure of CaCrCd2Pb from the Alexandria database. Energies are from PBE.

Lattice parameters (Å, degrees): 5.6581 5.6581 5.2653 90.00 90.00 90.00
Sites, in units of the cell vectors:
1 Ca 0.0000 0.0000 0.0000
2 Cr 0.5000 0.5000 0.0000
3 Cd 0.0000 0.5000 0.5000
4 Cd 0.5000 0.0000 0.5000
5 Pb 0.5000 0.5000 0.5000

Theoretical density ... 5.2 g/cm³
Symmetry ... P4/mmm
Energy of formation ... 0.5766 eV per atom

=====

Here is a relaxed structure of LaMg4 from the Alexandria database. Energies are from PBE.

Lattice parameters (Å, degrees): 3.4779 5.2262 7.9230 70.88 77.36 89.88
Sites, in units of the cell vectors:
1 La 0.0000 0.0000 0.0000
2 Mg 0.2815 0.7835 0.4350
3 Mg 0.3948 0.3973 0.2076
4 Mg 0.6052 0.6027 0.7924
5 Mg 0.7185 0.2165 0.5650

Theoretical density ... 3.0 g/cm³
Symmetry ... P-1
Energy of formation ... -0.0625 eV per atom

=====

Here is a relaxed structure of Ti4VCo5 from the Alexandria database. Energies are from PBE.

Lattice parameters (Å, degrees): 2.9736 2.9736 14.7340 90.00 90.00 90.00
Sites, in units of the cell vectors:
1 Ti 0.0000 0.0000 0.1010
2 Ti 0.0000 0.0000 0.3034
3 Ti 0.0000 0.0000 0.6966
4 Ti 0.0000 0.0000 0.8990
5 V 0.0000 0.0000 0.5000
6 Co 0.5000 0.5000 0.0000
7 Co 0.5000 0.5000 0.2024
8 Co 0.5000 0.5000 0.4041
9 Co 0.5000 0.5000 0.5959
10 Co 0.5000 0.5000 0.7976

Theoretical density ... 6.8 g/cm³
Symmetry ... P4/mmm
Energy of formation ... -0.3154 eV per atom

=====

Here is a relaxed structure of PaTe3 from the Alexandria database. Energies are from PBE.

Lattice parameters (Å, degrees): 3.7694 3.8446 9.6314 90.00 90.00 90.00
Sites, in units of the cell vectors:
1 Pa 0.0000 0.0000 0.0000
2 Te 0.0000 0.5000 0.4903
3 Te 0.5000 0.0000 0.7643
4 Te 0.5000 0.5000 0.1579

Theoretical density ... 7.3 g/cm³
ΔE_f (raw) ... -15.40 kJ per mole of atoms
Symmetry ... Pmm2

=====

Here is a relaxed structure of CoSe2Br from the Alexandria database. Energies are from PBE.

Lattice parameters (Å, degrees): 13.4869 5.7948 6.2103 90.00 103.75 90.00
Sites, in units of the cell vectors:
1 Co 0.0000 0.2374 0.0000
2 Co 0.0000 0.7626 0.0000
3 Co 0.5000 0.2626 0.0000
4 Co 0.5000 0.7374 0.0000
5 Se 0.0302 0.0000 0.2893
6 Se 0.0980 0.0000 0.8295
7 Se 0.1221 0.5000 0.1091
8 Se 0.4165 0.5000 0.6833
9 Se 0.5302 0.5000 0.2893
10 Se 0.5980 0.5000 0.8295
11 Se 0.6221 0.0000 0.1091
12 Se 0.9165 0.0000 0.6833
13 Br 0.1890 0.5000 0.5903
14 Br 0.3679 0.0000 0.0401
15 Br 0.6890 0.0000 0.5903
16 Br 0.8679 0.5000 0.0401

Theoretical density ... 4.2 g/cm³
Energy relative to the lowest polymorph listed for this composition ... 0.073 eV/atom
ΔE_f (raw) ... -12.92 kJ per mole of atoms
Symmetry ... Cm

=====

- The lowest theoretical density belongs to which entry?
  LaMg4